The following is a PBE-GGA calculation of a relaxed Ho2Er8Th3 crystal, from the Alexandria database.

Cell: 8.6738 8.6738 6.5679 Å, 98.12 98.12 64.14°
Atoms (fractional coordinates):
Ho  0.2143  0.2143  0.2905
Ho  0.7857  0.7857  0.7095
Er  0.1965  0.1965  0.7848
Er  0.2091  0.5659  0.0644
Er  0.4181  0.4181  0.6292
Er  0.4341  0.7909  0.9356
Er  0.5659  0.2091  0.0644
Er  0.5819  0.5819  0.3708
Er  0.7909  0.4341  0.9356
Er  0.8035  0.8035  0.2152
Th  0.0000  0.0000  0.0000
Th  0.1695  0.8305  0.5000
Th  0.8305  0.1695  0.5000

- raw total energy (eV per atom) = -4.941
- excess energy over the best structure of this formula in the dataset (meV/atom) = 256
- DFT formation energy (eV/atom) = 0.2837
- volume (Å³/cell) = 438